A plane-wave DFT calculation with PBE with a Hubbard U was carried out for V3BiO after structural relaxation.

```
data_V3BiO
_space_group_name_H-M_alt 'P m -3 m'
_space_group_IT_number 221
_space_group_name_Hall '-P 4 2 3'
_cell_length_a 4.184
_cell_length_b 4.184
_cell_length_c 4.184
_cell_angle_alpha 90.00
_cell_angle_beta 90.00
_cell_angle_gamma 90.00
loop_
_atom_site_label
_atom_site_type_symbol
_atom_site_fract_x
_atom_site_fract_y
_atom_site_fract_z
_atom_site_occupancy
V1 V 0.000 0.000 0.500 1
Bi1 Bi 0.500 0.500 0.500 1
O1 O 0.000 0.000 0.000 1
```

Summary:
The crystal system is cubic. The density of states at the Fermi level is 4.07 states/eV per cell. For the polymorph energy (0 for the lowest one), the calculation gives 0.000 eV per atom. For the electronic total energy, the calculation gives -5.787 eV per atom.